14
Lattice="6.7972 0.0000 0.0000 3.3986 5.8865 0.0000 3.3986 1.9622 8.2123" Properties=species:S:1:pos:R:3 comment="KCu3Se3 PBE-GGA optimized geometry" spacegroup="No. 148" polymorph_energy_mev_per_atom=18.5 crystal_system=trigonal pbc="T T T"
Se 7.9176 1.9422 2.4107
Cu 7.9079 1.9591 4.8928
Se 9.0740 3.9036 5.8016
Se 5.6408 1.9629 5.8016
Se 4.5204 3.9451 2.4107
Se 5.6768 5.9065 5.8016
K 6.7972 3.9244 0.0009
Cu 5.6865 5.8896 3.3195
Se 7.9536 5.8858 2.4107
K 6.7972 3.9244 8.2114
Cu 5.6506 1.9799 3.3195
Cu 7.9438 5.8688 4.8928
Cu 4.5399 3.9451 4.8928
Cu 9.0545 3.9036 3.3195

4
Lattice="-2.7949 -0.6127 2.7858 0.9109 -3.8877 0.0588 5.8961 1.4758 6.2400" Properties=species:S:1:pos:R:3 comment="RbTl2Hg PBE-GGA optimized geometry" spacegroup="No. 123" polymorph_energy_mev_per_atom=30.1 crystal_system=tetragonal pbc="T T T"
Rb 2.0061 -1.5123 4.5423
Tl 4.7719 1.1944 5.0502
Tl 1.1242 0.2814 1.1898
Hg -0.9420 -2.2502 1.4223

6
Lattice="3.5970 -0.0150 0.0156 -0.8054 6.7015 0.0050 1.4640 -1.8574 3.4601" Properties=species:S:1:pos:R:3 comment="BeNiSe PBE-GGA optimized geometry" spacegroup="No. 1" crystal_system=triclinic pbc="T T T"
Se 2.3605 2.9945 0.0357
Se 0.8769 4.4297 2.6043
Be 1.1781 5.9859 0.5073
Be 2.0254 0.0251 2.5894
Ni 2.0505 2.3083 2.2672
Ni 3.8146 0.6527 1.2066

4
Lattice="6.3949 -0.0062 -0.0008 5.4308 3.3765 -0.0008 1.5699 0.4474 4.1722" Properties=species:S:1:pos:R:3 comment="Sc2InSe PBE-GGA optimized geometry" spacegroup="No. 44" polymorph_energy_mev_per_atom=253.0 crystal_system=orthorhombic pbc="T T T"
Sc 1.7959 0.5118 4.0806
In 3.0383 0.8659 1.1686
Se 6.4036 1.8251 2.2056
Sc 10.4252 2.9712 2.9734

| no. | electronic total energy (eV per cell) | size of the total moment (μB per formula unit) |
| --- | --- | --- |
| 1 | -53.31 | 0.000 |
| 2 | -6.28 | 0.000 |
| 3 | -26.88 | 0.000 |
| 4 | -21.82 | 0.000 |